# 1
Entry from Alexandria: crystalline ZnHgN2 at its relaxed geometry (PBE).

abc: 4.9960 4.9960 9.3193
angles: 90.00 90.00 90.00
Space group I-42d (No. 122)
Unique sites:
Zn  0.0000  0.0000  0.0000 (multiplicity 4)
Hg  0.0000  0.0000  0.5000 (multiplicity 4)
N  0.2050  0.2500  0.1250 (multiplicity 8)

Calculated values
- formation energy from raw total energies (eV/atom) = 1.106
- E above lowest polymorph (eV/f.u.) = 0.077

=====

# 2
Entry from Alexandria: crystalline K2VCl at its relaxed geometry (PBE).

abc: 8.8768 8.8768 8.9786
angles: 90.00 90.00 90.00
Space group I-42d (No. 122)
Unique sites:
K  0.1886  0.2500  0.1250 (multiplicity 8)
V  0.0000  0.0000  0.5000 (multiplicity 4)
Cl  0.0000  0.0000  0.0000 (multiplicity 4)

Calculated values
- formation energy from raw total energies (eV/atom) = 0.126
- E above lowest polymorph (eV/f.u.) = 0.000

=====

# 3
Entry from Alexandria: crystalline NbGe2Au at its relaxed geometry (PBE).

abc: 7.0868 7.0868 5.9960
angles: 90.00 90.00 90.00
Space group I-42d (No. 122)
Unique sites:
Nb  0.0000  0.0000  0.0000 (multiplicity 4)
Ge  0.2356  0.2500  0.6250 (multiplicity 8)
Au  0.0000  0.0000  0.5000 (multiplicity 4)

Calculated values
- E above lowest polymorph (eV/f.u.) = 1.313
- formation energy (eV per atom) = 0.2473

=====

# 4
Entry from Alexandria: crystalline La2TlNiSn at its relaxed geometry (PBE).

abc: 5.4377 5.4377 4.8925
angles: 90.00 90.00 90.00
Space group P4/mmm (No. 123)
Unique sites:
La  0.0000  0.5000  0.0000 (multiplicity 2)
Tl  0.0000  0.0000  0.5000 (multiplicity 1)
Ni  0.5000  0.5000  0.0000 (multiplicity 1)
Sn  0.5000  0.5000  0.5000 (multiplicity 1)

Calculated values
- E above lowest polymorph (eV/f.u.) = 0.000
- formation energy (eV per atom) = -0.4311

=====

# 5
Entry from Alexandria: crystalline Hf7CdBi2H2 at its relaxed geometry (PBE).

abc: 6.1276 6.1139 12.4824
angles: 90.00 100.32 90.00
Space group C2/m (No. 12)
Unique sites:
Hf  0.0000  0.0000  0.0000 (multiplicity 2)
Hf  0.1406  0.0000  0.3972 (multiplicity 4)
Hf  0.1814  0.2491  0.8151 (multiplicity 8)
Cd  0.0000  0.5000  0.0000 (multiplicity 2)
Bi  0.1365  0.5000  0.3687 (multiplicity 4)
H  0.0633  0.0000  0.1685 (multiplicity 4)

Calculated values
- total energy (eV per atom) = -7.23

=====

# 6
Entry from Alexandria: crystalline Ag2PPdO4 at its relaxed geometry (PBE).

abc: 5.9770 6.0317 6.2772
angles: 90.00 90.00 90.00
Space group I222 (No. 23)
Unique sites:
Ag  0.2464  0.0000  0.0000 (multiplicity 4)
P  0.0000  0.0000  0.5000 (multiplicity 2)
Pd  0.0000  0.5000  0.0000 (multiplicity 2)
O  0.1572  0.1457  0.6424 (multiplicity 8)

Calculated values
- formation energy from raw total energies (eV/atom) = -0.862